This record from Alexandria describes an optimized crystal structure of TlSe2NCl. The functional is PBE.

```
TlSe2NCl
1.0
5.678 0.000 0.000
0.000 5.678 0.000
0.000 0.000 4.464
Tl Se N Cl
1 2 1 1
Cartesian
0.000 0.000 0.000 Tl
0.000 2.839 0.000 Se
2.839 0.000 0.000 Se
0.000 0.000 2.232 N
2.839 2.839 2.232 Cl
```

## Properties
Energy above the lowest structure with this stoichiometry = 0.126 eV/atom
Density of states at the Fermi level = 1.6 states/eV/cell
Energy relative to the elements, uncorrected = 1.2974 eV per atom